# 1
VASP calculation (PBE-GGA) on crystalline Na2Cd7Hg12 at its relaxed geometry.

Calculated values
Energy relative to the elements (eV/atom): -0.035
DOS at the Fermi energy (states/eV per cell): 6.9

Cell lengths 12.5253, 12.5253, 3.9887 Å; angles 90.00, 90.00, 120.00 degrees
Space group P-3 (No. 147)
Symmetry-distinct sites (fractional):
Na1 0.3333 0.6667 0.2797
Cd1 0.0000 0.0000 0.0000
Cd2 0.0495 0.6115 0.7422
Hg1 0.0765 0.8274 0.2898
Hg2 0.1616 0.4479 0.7865

# 2
VASP calculation (PBE-GGA) on crystalline Na6Cd23Hg at its relaxed geometry.

Calculated values
Energy relative to the elements (eV/atom): -0.075
DOS at the Fermi energy (states/eV per cell): 65.2

Cell lengths 14.241, 14.241, 14.241 Å; angles 90.00, 90.00, 90.00 degrees
Space group Fm-3m (No. 225)
Symmetry-distinct sites (fractional):
Na1 0.000 0.000 0.219
Cd1 0.000 0.000 0.500
Cd2 0.000 0.250 0.250
Cd3 0.122 0.122 0.378
Cd4 0.159 0.159 0.159
Hg1 0.000 0.000 0.000

# 3
VASP calculation (PBE-GGA) on crystalline Na9CdHg2 at its relaxed geometry.

Calculated values
Energy relative to the elements (eV/atom): -0.111
DOS at the Fermi energy (states/eV per cell): 3.4

Cell lengths 4.890, 4.890, 14.683 Å; angles 90.00, 90.00, 90.00 degrees
Space group P4/mmm (No. 123)
Symmetry-distinct sites (fractional):
Na1 0.000 0.000 0.000
Na2 0.000 0.000 0.334
Na3 0.000 0.500 0.169
Na4 0.000 0.500 0.500
Cd1 0.500 0.500 0.000
Hg1 0.500 0.500 0.335

# 4
VASP calculation (PBE-GGA) on crystalline Na2Cd5Hg at its relaxed geometry.

Calculated values
Energy relative to the elements (eV/atom): -0.082
DOS at the Fermi energy (states/eV per cell): 7.3

Cell lengths 6.447, 12.952, 4.576 Å; angles 90.00, 90.00, 90.00 degrees
Space group Pbam (No. 55)
Symmetry-distinct sites (fractional):
Na1 0.231 0.119 0.000
Cd1 0.000 0.500 0.500
Cd2 0.019 0.747 0.500
Cd3 0.232 0.369 0.000
Hg1 0.000 0.000 0.500